Entry 1:
First-principles (meta-GGA SCAN) data for MgBiMoO5 at its PBEsol-relaxed geometry, as listed in Alexandria.

Output
- Formation energy (no corrections): -2000 meV/atom
- ΔE to the lowest computed polymorph: 0 meV/atom
- Magnetic moment: 8.00 μB per cell

abc: 5.270 15.562 9.761
angles: 90.00 90.00 90.00
Space group Pbca (No. 61)
Inequivalent atoms, fractional coordinates:
Mg 0.017 0.082 0.154 (multiplicity 8)
Bi 0.077 0.249 0.368 (multiplicity 8)
Mo 0.072 0.066 0.617 (multiplicity 8)
O 0.051 0.674 0.813 (multiplicity 8)
O 0.170 0.550 0.022 (multiplicity 8)
O 0.187 0.623 0.512 (multiplicity 8)
O 0.217 0.667 0.227 (multiplicity 8)
O 0.249 0.510 0.761 (multiplicity 8)


Entry 2:
First-principles (meta-GGA SCAN) data for Sr2MgBr at its PBEsol-relaxed geometry, as listed in Alexandria.

Output
- Formation energy (no corrections): -483 meV/atom
- ΔE to the lowest computed polymorph: 198 meV/atom
- Magnetic moment: 5.75 μB per cell

abc: 8.306 8.306 8.306
angles: 90.00 90.00 90.00
Space group Fm-3m (No. 225)
Inequivalent atoms, fractional coordinates:
Sr 0.250 0.250 0.250 (multiplicity 8)
Mg 0.000 0.000 0.000 (multiplicity 4)
Br 0.000 0.000 0.500 (multiplicity 4)


Entry 3:
First-principles (meta-GGA SCAN) data for YTcSe2 at its PBEsol-relaxed geometry, as listed in Alexandria.

Output
- Formation energy (no corrections): -699 meV/atom
- ΔE to the lowest computed polymorph: 0 meV/atom
- Magnetic moment: 1.87 μB per cell

abc: 4.622 4.622 3.304
angles: 90.00 90.00 90.00
Space group P4/mmm (No. 123)
Inequivalent atoms, fractional coordinates:
Y 0.000 0.000 0.000 (multiplicity 1)
Tc 0.500 0.500 0.000 (multiplicity 1)
Se 0.000 0.500 0.500 (multiplicity 2)


Entry 4:
First-principles (meta-GGA SCAN) data for LuInPd at its PBEsol-relaxed geometry, as listed in Alexandria.

Output
- Formation energy from the elements: -0.922 eV per atom
- Magnetic moment: 0.00 μB per cell

abc: 7.4713 7.4713 3.7606
angles: 90.00 90.00 120.00
Space group P-62m (No. 189)
Inequivalent atoms, fractional coordinates:
Lu 0.0000 0.5926 0.0000 (multiplicity 3)
In 0.0000 0.2612 0.5000 (multiplicity 3)
Pd 0.0000 0.0000 0.0000 (multiplicity 1)
Pd 0.3333 0.6667 0.5000 (multiplicity 2)